Record 1
Density functional theory data (PBE-GGA) for a relaxed ErThTe crystal.

D(E_F)   1.246 states/eV per atom
Energy relative to the lowest polymorph listed for this composition   32 meV per atom
Calculated volume   30.097 Å³/atom

Geometry as CIF:
```
data_ErThTe
_chemical_formula_sum 'Er2 Th2 Te2'
_space_group_name_H-M_alt 'I 4 m m'
_space_group_IT_number 107
_space_group_name_Hall 'I 4 -2'
_cell_length_a 3.844
_cell_length_b 3.844
_cell_length_c 12.219
_cell_angle_alpha 90.00
_cell_angle_beta 90.00
_cell_angle_gamma 90.00
loop_
_atom_site_label
_atom_site_fract_x
_atom_site_fract_y
_atom_site_fract_z
Er1 0.000 0.000 0.000
Th1 0.000 0.000 0.695
Te1 0.000 0.000 0.362
```


Record 2
Density functional theory data (PBE-GGA) for a relaxed Er3ThTe2 crystal.

D(E_F)   1.008 states/eV per atom
Calculated volume   30.016 Å³/atom
DFT total energy   -126.894 eV for the cell shown

Geometry as CIF:
```
data_Er3ThTe2
_chemical_formula_sum 'Er12 Th4 Te8'
_space_group_name_H-M_alt 'C 1 2/m 1'
_space_group_IT_number 12
_space_group_name_Hall '-C 2y'
_cell_length_a 16.634
_cell_length_b 4.033
_cell_length_c 11.394
_cell_angle_alpha 90.00
_cell_angle_beta 109.51
_cell_angle_gamma 90.00
loop_
_atom_site_label
_atom_site_fract_x
_atom_site_fract_y
_atom_site_fract_z
Er1 0.061 0.000 0.404
Er2 0.121 0.500 0.660
Er3 0.217 0.500 0.376
Th1 0.118 0.000 0.036
Te1 0.017 0.500 0.171
Te2 0.227 0.000 0.854
```


Record 3
Density functional theory data (PBE-GGA) for a relaxed Er2ThTe crystal.

D(E_F)   1.260 states/eV per atom
Energy relative to the lowest polymorph listed for this composition   399 meV per atom
Calculated volume   32.585 Å³/atom

Geometry as CIF:
```
data_Er2ThTe
_chemical_formula_sum 'Er6 Th3 Te3'
_space_group_name_H-M_alt 'R -3 m'
_space_group_IT_number 166
_space_group_name_Hall '-R 3 2"'
_cell_length_a 3.7191
_cell_length_b 3.7191
_cell_length_c 32.6429
_cell_angle_alpha 90.00
_cell_angle_beta 90.00
_cell_angle_gamma 120.00
loop_
_atom_site_label
_atom_site_fract_x
_atom_site_fract_y
_atom_site_fract_z
Er1 0.0000 0.0000 0.1024
Th1 0.0000 0.0000 0.0000
Te1 0.0000 0.0000 0.5000
```


Record 4
Density functional theory data (PBE-GGA) for a relaxed ErTh2Te4 crystal.

D(E_F)   0.718 states/eV per atom
Calculated volume   33.295 Å³/atom
DFT total energy   -159.122 eV for the cell shown

Geometry as CIF:
```
data_ErTh2Te4
_chemical_formula_sum 'Er4 Th8 Te16'
_space_group_name_H-M_alt 'C m c m'
_space_group_IT_number 63
_space_group_name_Hall '-C 2c 2'
_cell_length_a 4.147
_cell_length_b 14.147
_cell_length_c 15.890
_cell_angle_alpha 90.00
_cell_angle_beta 90.00
_cell_angle_gamma 90.00
loop_
_atom_site_label
_atom_site_fract_x
_atom_site_fract_y
_atom_site_fract_z
Er1 0.000 0.105 0.250
Th1 0.000 0.350 0.063
Te1 0.000 0.000 0.000
Te2 0.000 0.300 0.633
Te3 0.000 0.444 0.250
```


Record 5
Density functional theory data (PBE-GGA) for a relaxed ErThTe3 crystal.

D(E_F)   0.368 states/eV per atom
Energy relative to the lowest polymorph listed for this composition   0 meV per atom
Calculated volume   32.878 Å³/atom

Geometry as CIF:
```
data_ErThTe3
_chemical_formula_sum 'Er4 Th4 Te12'
_space_group_name_H-M_alt 'C 1 2/m 1'
_space_group_IT_number 12
_space_group_name_Hall '-C 2y'
_cell_length_a 15.881
_cell_length_b 4.300
_cell_length_c 9.655
_cell_angle_alpha 90.00
_cell_angle_beta 94.27
_cell_angle_gamma 90.00
loop_
_atom_site_label
_atom_site_fract_x
_atom_site_fract_y
_atom_site_fract_z
Er1 0.185 0.000 0.134
Th1 0.108 0.500 0.582
Te1 0.038 0.000 0.335
Te2 0.128 0.500 0.927
Te3 0.244 0.500 0.343
```


Record 6
Density functional theory data (PBE-GGA) for a relaxed ErThTe6 crystal.

D(E_F)   0.291 states/eV per atom
Calculated volume   32.417 Å³/atom
DFT total energy   -76.416 eV for the cell shown

Geometry as CIF:
```
data_ErThTe6
_chemical_formula_sum 'Er2 Th2 Te12'
_space_group_name_H-M_alt 'A m m 2'
_space_group_IT_number 38
_space_group_name_Hall 'A 2 -2'
_cell_length_a 4.428
_cell_length_b 4.426
_cell_length_c 26.464
_cell_angle_alpha 90.00
_cell_angle_beta 90.00
_cell_angle_gamma 90.00
loop_
_atom_site_label
_atom_site_fract_x
_atom_site_fract_y
_atom_site_fract_z
Er1 0.000 0.000 0.000
Th1 0.500 0.000 0.661
Te1 0.000 0.000 0.123
Te2 0.000 0.000 0.412
Te3 0.000 0.000 0.752
Te4 0.500 0.000 0.253
Te5 0.500 0.000 0.538
Te6 0.500 0.000 0.912
```


Record 7
Density functional theory data (PBE-GGA) for a relaxed ErThTe crystal.

D(E_F)   1.193 states/eV per atom
Energy relative to the lowest polymorph listed for this composition   279 meV per atom
Calculated volume   30.052 Å³/atom

Geometry as CIF:
```
data_ErThTe
_chemical_formula_sum 'Er1 Th1 Te1'
_space_group_name_H-M_alt 'P 3 m 1'
_space_group_IT_number 156
_space_group_name_Hall 'P 3 -2"'
_cell_length_a 5.2230
_cell_length_b 5.2230
_cell_length_c 3.8161
_cell_angle_alpha 90.00
_cell_angle_beta 90.00
_cell_angle_gamma 120.00
loop_
_atom_site_label
_atom_site_fract_x
_atom_site_fract_y
_atom_site_fract_z
Er1 0.0000 0.0000 0.0000
Th1 0.3333 0.6667 0.4998
Te1 0.6667 0.3333 0.0047
```


Record 8
Density functional theory data (PBE-GGA) for a relaxed ErThTe3 crystal.

D(E_F)   0.629 states/eV per atom
Energy relative to the lowest polymorph listed for this composition   102 meV per atom
Calculated volume   37.736 Å³/atom

Geometry as CIF:
```
data_ErThTe3
_chemical_formula_sum 'Er4 Th4 Te12'
_space_group_name_H-M_alt 'C m c 21'
_space_group_IT_number 36
_space_group_name_Hall 'C 2c -2'
_cell_length_a 4.413
_cell_length_b 22.299
_cell_length_c 7.670
_cell_angle_alpha 90.00
_cell_angle_beta 90.00
_cell_angle_gamma 90.00
loop_
_atom_site_label
_atom_site_fract_x
_atom_site_fract_y
_atom_site_fract_z
Er1 0.000 0.165 0.000
Th1 0.000 0.340 0.002
Te1 0.000 0.085 0.321
Te2 0.000 0.251 0.668
Te3 0.000 0.410 0.346
```


Record 9
Density functional theory data (PBE-GGA) for a relaxed ErThTe2 crystal.

D(E_F)   0.775 states/eV per atom
Energy relative to the lowest polymorph listed for this composition   0 meV per atom
Calculated volume   30.062 Å³/atom

Geometry as CIF:
```
data_ErThTe2
_chemical_formula_sum 'Er3 Th3 Te6'
_space_group_name_H-M_alt 'R 3 m'
_space_group_IT_number 160
_space_group_name_Hall 'R 3 -2"'
_cell_length_a 4.1573
_cell_length_b 4.1573
_cell_length_c 24.1023
_cell_angle_alpha 90.00
_cell_angle_beta 90.00
_cell_angle_gamma 120.00
loop_
_atom_site_label
_atom_site_fract_x
_atom_site_fract_y
_atom_site_fract_z
Er1 0.0000 0.0000 0.0000
Th1 0.0000 0.0000 0.1689
Te1 0.0000 0.0000 0.4127
Te2 0.0000 0.0000 0.5895
```


Record 10
Density functional theory data (PBE-GGA) for a relaxed Er2Th2Te7 crystal.

D(E_F)   0.104 states/eV per atom
Calculated volume   31.152 Å³/atom
DFT total energy   -119.235 eV for the cell shown

Geometry as CIF:
```
data_Er2Th2Te7
_chemical_formula_sum 'Er4 Th4 Te14'
_space_group_name_H-M_alt 'I m m 2'
_space_group_IT_number 44
_space_group_name_Hall 'I 2 -2'
_cell_length_a 4.409
_cell_length_b 15.809
_cell_length_c 9.832
_cell_angle_alpha 90.00
_cell_angle_beta 90.00
_cell_angle_gamma 90.00
loop_
_atom_site_label
_atom_site_fract_x
_atom_site_fract_y
_atom_site_fract_z
Er1 0.000 0.000 0.000
Er2 0.000 0.500 0.041
Th1 0.000 0.235 0.232
Te1 0.000 0.000 0.311
Te2 0.000 0.109 0.722
Te3 0.000 0.320 0.936
Te4 0.000 0.360 0.531
```


Record 11
Density functional theory data (PBE-GGA) for a relaxed ErTh2Te6 crystal.

D(E_F)   0.678 states/eV per atom
Calculated volume   40.970 Å³/atom
DFT total energy   -94.730 eV for the cell shown

Geometry as CIF:
```
data_ErTh2Te6
_chemical_formula_sum 'Er2 Th4 Te12'
_space_group_name_H-M_alt 'P 42/m n m'
_space_group_IT_number 136
_space_group_name_Hall '-P 4n 2n'
_cell_length_a 7.341
_cell_length_b 7.341
_cell_length_c 13.685
_cell_angle_alpha 90.00
_cell_angle_beta 90.00
_cell_angle_gamma 90.00
loop_
_atom_site_label
_atom_site_fract_x
_atom_site_fract_y
_atom_site_fract_z
Er1 0.000 0.000 0.000
Th1 0.000 0.000 0.332
Te1 0.200 0.200 0.161
Te2 0.203 0.203 0.500
```


Record 12
Density functional theory data (PBE-GGA) for a relaxed ErThTe2 crystal.

D(E_F)   0.758 states/eV per atom
Energy relative to the lowest polymorph listed for this composition   24 meV per atom
Calculated volume   27.455 Å³/atom

Geometry as CIF:
```
data_ErThTe2
_chemical_formula_sum 'Er1 Th1 Te2'
_space_group_name_H-M_alt 'P 4/m m m'
_space_group_IT_number 123
_space_group_name_Hall '-P 4 2'
_cell_length_a 5.353
_cell_length_b 5.353
_cell_length_c 3.833
_cell_angle_alpha 90.00
_cell_angle_beta 90.00
_cell_angle_gamma 90.00
loop_
_atom_site_label
_atom_site_fract_x
_atom_site_fract_y
_atom_site_fract_z
Er1 0.000 0.000 0.000
Th1 0.500 0.500 0.000
Te1 0.000 0.500 0.500
```


Record 13
Density functional theory data (PBE-GGA) for a relaxed ErThTe crystal.

D(E_F)   0.842 states/eV per atom
Energy relative to the lowest polymorph listed for this composition   0 meV per atom
Calculated volume   28.923 Å³/atom

Geometry as CIF:
```
data_ErThTe
_chemical_formula_sum 'Er2 Th2 Te2'
_space_group_name_H-M_alt 'P 4/n m m'
_space_group_IT_number 129
_cell_length_a 4.445
_cell_length_b 4.445
_cell_length_c 8.784
_cell_angle_alpha 90.00
_cell_angle_beta 90.00
_cell_angle_gamma 90.00
loop_
_space_group_symop_operation_xyz
'x,y,z'
'-x,-y,-z'
'-y+1/2,x,z'
'y+1/2,-x,-z'
'-x+1/2,-y+1/2,z'
'x+1/2,y+1/2,-z'
'y,-x+1/2,z'
'-y,x+1/2,-z'
'x+1/2,-y,-z'
'-x+1/2,y,z'
'-y,-x,-z'
'y,x,z'
'-x,y+1/2,-z'
'x,-y+1/2,z'
'y+1/2,x+1/2,-z'
'-y+1/2,-x+1/2,z'
loop_
_atom_site_label
_atom_site_fract_x
_atom_site_fract_y
_atom_site_fract_z
Er1 0.250 0.250 0.144
Th1 0.250 0.750 0.500
Te1 0.250 0.250 0.796
```


Record 14
Density functional theory data (PBE-GGA) for a relaxed Er6ThTe8 crystal.

D(E_F)   0.505 states/eV per atom
Calculated volume   30.166 Å³/atom
DFT total energy   -315.148 eV for the cell shown

Geometry as CIF:
```
data_Er6ThTe8
_chemical_formula_sum 'Er24 Th4 Te32'
_space_group_name_H-M_alt 'F m -3 m'
_space_group_IT_number 225
_space_group_name_Hall '-F 4 2 3'
_cell_length_a 12.187
_cell_length_b 12.187
_cell_length_c 12.187
_cell_angle_alpha 90.00
_cell_angle_beta 90.00
_cell_angle_gamma 90.00
loop_
_atom_site_label
_atom_site_fract_x
_atom_site_fract_y
_atom_site_fract_z
Er1 0.000 0.250 0.250
Th1 0.000 0.000 0.000
Te1 0.000 0.000 0.264
Te2 0.250 0.250 0.250
```


Record 15
Density functional theory data (PBE-GGA) for a relaxed Er2ThTe crystal.

D(E_F)   0.747 states/eV per atom
Energy relative to the lowest polymorph listed for this composition   13 meV per atom
Calculated volume   30.702 Å³/atom

Geometry as CIF:
```
data_Er2ThTe
_chemical_formula_sum 'Er4 Th2 Te2'
_space_group_name_H-M_alt 'P m m n'
_space_group_IT_number 59
_cell_length_a 3.817
_cell_length_b 5.892
_cell_length_c 10.920
_cell_angle_alpha 90.00
_cell_angle_beta 90.00
_cell_angle_gamma 90.00
loop_
_space_group_symop_operation_xyz
'x,y,z'
'-x,-y,-z'
'-x+1/2,-y+1/2,z'
'x+1/2,y+1/2,-z'
'x+1/2,-y,-z'
'-x+1/2,y,z'
'-x,y+1/2,-z'
'x,-y+1/2,z'
loop_
_atom_site_label
_atom_site_fract_x
_atom_site_fract_y
_atom_site_fract_z
Er1 0.250 0.250 0.165
Er2 0.250 0.250 0.721
Th1 0.250 0.750 0.546
Te1 0.250 0.750 0.063
```


Record 16
Density functional theory data (PBE-GGA) for a relaxed ErThTe2 crystal.

D(E_F)   0.964 states/eV per atom
Energy relative to the lowest polymorph listed for this composition   50 meV per atom
Calculated volume   30.195 Å³/atom

Geometry as CIF:
```
data_ErThTe2
_chemical_formula_sum 'Er4 Th4 Te8'
_space_group_name_H-M_alt 'I 41/a m d'
_space_group_IT_number 141
_cell_length_a 6.244
_cell_length_b 6.244
_cell_length_c 12.391
_cell_angle_alpha 90.00
_cell_angle_beta 90.00
_cell_angle_gamma 90.00
loop_
_space_group_symop_operation_xyz
'x,y,z'
'-x,-y,-z'
'-y+1/4,x+3/4,z+1/4'
'y+1/4,-x+3/4,-z+1/4'
'-x+1/2,-y,z+1/2'
'x+1/2,y,-z+1/2'
'y+1/4,-x+1/4,z+3/4'
'-y+1/4,x+1/4,-z+3/4'
'x,-y,-z'
'-x,y,z'
'-y+1/4,-x+1/4,-z+3/4'
'y+1/4,x+1/4,z+3/4'
'-x+1/2,y,-z+1/2'
'x+1/2,-y,z+1/2'
'y+1/4,x+3/4,-z+1/4'
'-y+1/4,-x+3/4,z+1/4'
'x+1/2,y+1/2,z+1/2'
'-x+1/2,-y+1/2,-z+1/2'
'-y+3/4,x+1/4,z+3/4'
'y+3/4,-x+1/4,-z+3/4'
'-x,-y+1/2,z'
'x,y+1/2,-z'
'y+3/4,-x+3/4,z+1/4'
'-y+3/4,x+3/4,-z+1/4'
'x+1/2,-y+1/2,-z+1/2'
'-x+1/2,y+1/2,z+1/2'
'-y+3/4,-x+3/4,-z+1/4'
'y+3/4,x+3/4,z+1/4'
'-x,y+1/2,-z'
'x,-y+1/2,z'
'y+3/4,x+1/4,-z+3/4'
'-y+3/4,-x+1/4,z+3/4'
loop_
_atom_site_label
_atom_site_fract_x
_atom_site_fract_y
_atom_site_fract_z
Er1 0.000 0.250 0.375
Th1 0.000 0.250 0.875
Te1 0.000 0.250 0.131
```


Record 17
Density functional theory data (PBE-GGA) for a relaxed Er2ThTe crystal.

D(E_F)   1.489 states/eV per atom
Energy relative to the lowest polymorph listed for this composition   92 meV per atom
Calculated volume   31.206 Å³/atom

Geometry as CIF:
```
data_Er2ThTe
_chemical_formula_sum 'Er6 Th3 Te3'
_space_group_name_H-M_alt 'R 3 m'
_space_group_IT_number 160
_space_group_name_Hall 'R 3 -2"'
_cell_length_a 3.8161
_cell_length_b 3.8161
_cell_length_c 29.6926
_cell_angle_alpha 90.00
_cell_angle_beta 90.00
_cell_angle_gamma 120.00
loop_
_atom_site_label
_atom_site_fract_x
_atom_site_fract_y
_atom_site_fract_z
Er1 0.0000 0.0000 0.0000
Er2 0.0000 0.0000 0.1912
Th1 0.0000 0.0000 0.7624
Te1 0.0000 0.0000 0.5956
```


Record 18
Density functional theory data (PBE-GGA) for a relaxed Er3ThTe4 crystal.

D(E_F)   0.646 states/eV per atom
Calculated volume   29.302 Å³/atom
DFT total energy   -85.669 eV for the cell shown

Geometry as CIF:
```
data_Er3ThTe4
_chemical_formula_sum 'Er6 Th2 Te8'
_space_group_name_H-M_alt 'C m m m'
_space_group_IT_number 65
_space_group_name_Hall '-C 2 2'
_cell_length_a 8.861
_cell_length_b 12.350
_cell_length_c 4.284
_cell_angle_alpha 90.00
_cell_angle_beta 90.00
_cell_angle_gamma 90.00
loop_
_atom_site_label
_atom_site_fract_x
_atom_site_fract_y
_atom_site_fract_z
Er1 0.000 0.000 0.000
Er2 0.250 0.250 0.500
Th1 0.000 0.500 0.000
Te1 0.000 0.245 0.000
Te2 0.239 0.000 0.500
```


Record 19
Density functional theory data (PBE-GGA) for a relaxed Er2ThTe3 crystal.

D(E_F)   0.750 states/eV per atom
Calculated volume   29.565 Å³/atom
DFT total energy   -65.482 eV for the cell shown

Geometry as CIF:
```
data_Er2ThTe3
_chemical_formula_sum 'Er4 Th2 Te6'
_space_group_name_H-M_alt 'I m m m'
_space_group_IT_number 71
_space_group_name_Hall '-I 2 2'
_cell_length_a 4.198
_cell_length_b 6.195
_cell_length_c 13.642
_cell_angle_alpha 90.00
_cell_angle_beta 90.00
_cell_angle_gamma 90.00
loop_
_atom_site_label
_atom_site_fract_x
_atom_site_fract_y
_atom_site_fract_z
Er1 0.000 0.000 0.157
Th1 0.000 0.000 0.500
Te1 0.000 0.500 0.179
Te2 0.000 0.500 0.500
```


Record 20
Density functional theory data (PBE-GGA) for a relaxed Er3ThTe crystal.

D(E_F)   1.304 states/eV per atom
Calculated volume   32.146 Å³/atom
DFT total energy   -102.790 eV for the cell shown

Geometry as CIF:
```
data_Er3ThTe
_chemical_formula_sum 'Er12 Th4 Te4'
_space_group_name_H-M_alt 'C 1 2/m 1'
_space_group_IT_number 12
_space_group_name_Hall '-C 2y'
_cell_length_a 11.411
_cell_length_b 5.651
_cell_length_c 10.717
_cell_angle_alpha 90.00
_cell_angle_beta 111.52
_cell_angle_gamma 90.00
loop_
_atom_site_label
_atom_site_fract_x
_atom_site_fract_y
_atom_site_fract_z
Er1 0.079 0.000 0.374
Er2 0.119 0.500 0.156
Er3 0.142 0.500 0.740
Th1 0.126 0.000 0.953
Te1 0.140 0.500 0.449
```